{
  "formula": "AcNiSnPd",
  "functional": "PBE-GGA",
  "state": "relaxed",
  "e_form_mev_per_atom": -613,
  "spacegroup": "R3m",
  "final_energy_ev_per_atom": -5.38,
  "cell": [[2.2743, 1.3131, 5.1671], [-2.2743, 1.3131, 5.1671], [0.0000, -2.6261, 5.1671]],
  "species": ["Ac", "Ni", "Sn", "Pd"],
  "fractional_positions": [[0.0000, 0.0000, 0.0000], [0.1968, 0.1968, 0.1968], [0.5099, 0.5099, 0.5099], [0.7940, 0.7940, 0.7940]]
}

{
  "formula": "NdTmSi2Pt5",
  "functional": "PBE-GGA",
  "state": "relaxed",
  "formation_energy_uncorrected_ev_per_atom": -1.03,
  "spacegroup": "P4/mmm",
  "final_energy_ev_per_atom": -6.62,
  "cell": [[4.2351, 0.0000, 0.0000], [0.0000, 4.2351, 0.0000], [0.0000, 0.0000, 8.9578]],
  "species": ["Nd", "Tm", "Si", "Si", "Pt", "Pt", "Pt", "Pt", "Pt"],
  "fractional_positions": [[0.0000, 0.0000, 0.0000], [0.0000, 0.0000, 0.5000], [0.5000, 0.5000, 0.3695], [0.5000, 0.5000, 0.6305], [0.0000, 0.5000, 0.2426], [0.0000, 0.5000, 0.7574], [0.5000, 0.0000, 0.2426], [0.5000, 0.0000, 0.7574], [0.5000, 0.5000, 0.0000]]
}

{
  "formula": "Pr2Dy3Pb4",
  "functional": "PBE-GGA",
  "state": "relaxed",
  "e_form_mev_per_atom": -596,
  "spacegroup": "P2_1/c",
  "final_energy_ev_per_atom": -4.84,
  "de_polymorph_mev_per_atom": 0,
  "cell": [[8.5020, 0.0000, 0.0000], [0.0000, 8.4768, 0.0000], [-3.0025, 0.0000, 7.6712]],
  "species": ["Pr", "Pr", "Pr", "Pr", "Dy", "Dy", "Dy", "Dy", "Dy", "Dy", "Pb", "Pb", "Pb", "Pb", "Pb", "Pb", "Pb", "Pb"],
  "fractional_positions": [[0.1932, 0.1791, 0.0583], [0.1932, 0.3209, 0.5583], [0.8068, 0.6791, 0.4417], [0.8068, 0.8209, 0.9417], [0.2455, 0.6600, 0.2393], [0.2455, 0.8400, 0.7393], [0.5000, 0.0000, 0.5000], [0.5000, 0.5000, 0.0000], [0.7545, 0.1600, 0.2607], [0.7545, 0.3400, 0.7607], [0.0859, 0.5415, 0.8336], [0.0859, 0.9585, 0.3336], [0.4922, 0.1402, 0.8598], [0.4922, 0.3598, 0.3598], [0.5078, 0.6402, 0.6402], [0.5078, 0.8598, 0.1402], [0.9141, 0.0415, 0.6664], [0.9141, 0.4585, 0.1664]]
}

{
  "formula": "SrAsPt2",
  "functional": "PBE-GGA",
  "state": "relaxed",
  "e_form_mev_per_atom": -309,
  "spacegroup": "P4/mmm",
  "final_energy_ev_per_atom": -4.91,
  "cell": [[4.3631, 0.0000, 0.0000], [0.0000, 4.3631, 0.0000], [0.0000, 0.0000, 4.1700]],
  "species": ["Sr", "As", "Pt", "Pt"],
  "fractional_positions": [[0.0000, 0.0000, 0.0000], [0.5000, 0.5000, 0.0000], [0.0000, 0.5000, 0.5000], [0.5000, 0.0000, 0.5000]]
}

{
  "formula": "Li2TaCo",
  "functional": "PBE-GGA",
  "state": "relaxed",
  "e_form_mev_per_atom": 440,
  "spacegroup": "P4/mmm",
  "final_energy_ev_per_atom": -5.26,
  "de_polymorph_mev_per_atom": 275,
  "cell": [[2.5885, 0.0000, 0.0000], [0.0000, 2.5885, 0.0000], [0.0000, 0.0000, 8.9232]],
  "species": ["Li", "Li", "Ta", "Co"],
  "fractional_positions": [[0.0000, 0.0000, 0.2206], [0.0000, 0.0000, 0.7794], [0.5000, 0.5000, 0.5000], [0.5000, 0.5000, 0.0000]]
}

{
  "formula": "NiTe2As",
  "functional": "PBE-GGA",
  "state": "relaxed",
  "formation_energy_uncorrected_ev_per_atom": 0.12,
  "spacegroup": "Imm2",
  "final_energy_ev_per_atom": -4.06,
  "cell": [[-1.5579, 2.5281, 5.9966], [1.5579, -2.5281, 5.9966], [1.5579, 2.5281, -5.9966]],
  "species": ["Ni", "Te", "Te", "As"],
  "fractional_positions": [[0.0000, 0.0000, 0.0000], [0.5135, 0.5135, 0.0000], [0.8208, 0.3208, 0.5000], [0.1508, 0.6508, 0.5000]]
}